# MnAlMoIrF (GGA+U, optimized geometry)
data_MnAlMoIrF
_space_group_name_H-M_alt 'P 1'
_space_group_IT_number 1
_space_group_name_Hall 'P 1'
_cell_length_a 9.378
_cell_length_b 9.378
_cell_length_c 9.378
_cell_angle_alpha 161.67
_cell_angle_beta 161.67
_cell_angle_gamma 26.04
loop_
_atom_site_label
_atom_site_type_symbol
_atom_site_fract_x
_atom_site_fract_y
_atom_site_fract_z
Mn1 Mn 0.000 0.000 0.000
Al1 Al 0.171 0.171 0.000
Mo1 Mo 0.387 0.387 0.000
Ir1 Ir 0.598 0.598 0.000
F1 F 0.268 0.268 0.000
# Distance to the lowest polymorph of the same formula, eV/f.u.: 0.000
# Space group: I4mm
# DOS(E_F), states/eV/cell: 2.361
# Total magnetization, μB/atom: 1.243